DFT (PBE-GGA) results for a geometry-optimized AlCuNi structure.

It has space group P-62m (No. 189), with a = 6.9399 Å, b = 6.9399 Å, c = 2.6510 Å, α = 90.00°, β = 90.00° and γ = 120.00°. The asymmetric unit holds Al at (0.0000, 0.6389, 0.0000), Cu at (0.0000, 0.0000, 0.0000), Cu at (0.3333, 0.6667, 0.5000) and Ni at (0.0000, 0.3029, 0.5000).

The formation energy is -0.92 eV/f.u. The calculation puts the energy above the lowest structure with this stoichiometry at 28 kJ/mol of formula units.

=====

DFT (PBE-GGA) results for a geometry-optimized HfFe2Ir structure.

It has space group I-42d (No. 122), with a = 3.691 Å, b = 3.691 Å, c = 19.026 Å, α = 90.00°, β = 90.00° and γ = 90.00°. The asymmetric unit holds Hf at (0.000, 0.000, 0.000), Fe at (0.225, 0.250, 0.625) and Ir at (0.000, 0.000, 0.500).

The formation energy is 0.42 eV/f.u.

=====

DFT (PBE-GGA) results for a geometry-optimized Dy2ZnCd2 structure.

It has space group Cmmm (No. 65), with a = 3.534 Å, b = 20.403 Å, c = 3.471 Å, α = 90.00°, β = 90.00° and γ = 90.00°. The asymmetric unit holds Dy at (0.000, 0.087, 0.000), Zn at (0.000, 0.500, 0.500) and Cd at (0.000, 0.308, 0.500).

The formation energy is -1.06 eV/f.u.

=====

DFT (PBE-GGA) results for a geometry-optimized SrW4Se8 structure.

It has space group C2/m (No. 12), with a = 17.342 Å, b = 3.454 Å, c = 12.082 Å, α = 90.00°, β = 130.93° and γ = 90.00°. The asymmetric unit holds Sr at (0.000, 0.000, 0.000), W at (0.172, 0.000, 0.481), W at (0.189, 0.500, 0.870), Se at (0.043, 0.000, 0.752), Se at (0.132, 0.500, 0.595), Se at (0.143, 0.500, 0.300) and Se at (0.180, 0.500, 0.069).

For the formation energy without anion corrections, the calculation gives -41.6 kJ per mole of atoms.

=====

DFT (PBE-GGA) results for a geometry-optimized AlV2Ga structure.

It has space group P4/mmm (No. 123), with a = 3.240 Å, b = 3.240 Å, c = 5.471 Å, α = 90.00°, β = 90.00° and γ = 90.00°. The asymmetric unit holds Al at (0.000, 0.000, 0.000), V at (0.500, 0.500, 0.274) and Ga at (0.000, 0.000, 0.500).

The formation energy is -0.22 eV/f.u.

=====

DFT (PBE-GGA) results for a geometry-optimized NaHoPb4 structure.

It has space group P2/m (No. 10), with a = 3.546 Å, b = 5.120 Å, c = 10.034 Å, α = 90.00°, β = 95.84° and γ = 90.00°. The asymmetric unit holds Na at (0.000, 0.000, 0.000), Ho at (0.000, 0.500, 0.500), Pb at (0.328, 0.000, 0.343) and Pb at (0.442, 0.500, 0.823).

The formation energy is -0.95 eV/f.u. The calculation puts the energy above the lowest structure with this stoichiometry at 0 kJ/mol of formula units.